Entry 1:
A plane-wave DFT calculation with GGA-PBE was carried out for a relaxed structure of PaBi2Pb.

Results
* ΔE_f: -81.1 meV/atom

Cell: 6.873 8.152 4.178 Å, 90.00 90.00 90.00°
Space group Cmmm (No. 65)
Symmetry-distinct sites (fractional):
Pa: 0.000 0.000 0.000 (multiplicity 2)
Bi: 0.250 0.250 0.500 (multiplicity 4)
Pb: 0.000 0.500 0.000 (multiplicity 2)

---

Entry 2:
A plane-wave DFT calculation with GGA-PBE was carried out for a relaxed structure of Sr2AcRh2.

Results
* ΔE_f: -367.8 meV/atom

Cell: 4.212 6.710 10.653 Å, 90.00 90.00 90.00°
Space group Immm (No. 71)
Symmetry-distinct sites (fractional):
Sr: 0.000 0.000 0.186 (multiplicity 4)
Ac: 0.000 0.500 0.000 (multiplicity 2)
Rh: 0.000 0.296 0.500 (multiplicity 4)

---

Entry 3:
A plane-wave DFT calculation with GGA-PBE was carried out for a relaxed structure of CdAsBr2.

Results
* formation energy (no corrections): 0.056 eV/atom

Cell: 3.627 6.531 9.862 Å, 90.00 90.00 90.00°
Space group Cmmm (No. 65)
Symmetry-distinct sites (fractional):
Cd: 0.000 0.000 0.000 (multiplicity 2)
As: 0.000 0.000 0.500 (multiplicity 2)
Br: 0.000 0.500 0.300 (multiplicity 4)

---

Number 1: density of states at the Fermi level 4.7 states/eV/f.u.. Number 2: density of states at the Fermi level 2.5 states/eV/f.u.. Number 3: density of states at the Fermi level 2.5 states/eV/f.u..